Density functional theory data (PBE) for Tb3Nd2Ho6In after structural relaxation.

Lattice parameters (Å, degrees): 6.093 6.093 11.712 94.99 94.99 120.03
Fractional coordinates of all 12 atoms:
Tb 0.167 0.833 0.500
Tb 0.833 0.167 0.500
Tb 0.500 0.500 0.500
Nd 0.334 0.666 0.000
Nd 0.666 0.334 0.000
Ho 0.917 0.590 0.751
Ho 0.756 0.756 0.250
Ho 0.083 0.410 0.249
Ho 0.590 0.917 0.751
Ho 0.244 0.244 0.750
Ho 0.410 0.083 0.249
In 0.000 0.000 0.000

Results
Raw total energy = -4.526 eV/atom
Space group = C2/m
Fermi-level density of states = 15.4 states/eV per cell
Formation enthalpy at 0 K = -0.06 eV per atom

Density functional theory data (PBE) for K4PuTh3S8 after structural relaxation.

Lattice parameters (Å, degrees): 8.261 8.846 8.261 117.84 120.00 90.00
Fractional coordinates of all 16 atoms:
K 0.500 0.000 0.000
K 0.500 0.000 0.500
K 0.000 0.000 0.000
K 0.000 0.000 0.500
Pu 0.000 0.500 0.000
Th 0.500 0.500 0.000
Th 0.500 0.500 0.500
Th 0.000 0.500 0.500
S 0.238 0.709 0.972
S 0.238 0.709 0.476
S 0.263 0.288 0.525
S 0.734 0.709 0.972
S 0.266 0.291 0.028
S 0.737 0.712 0.475
S 0.762 0.291 0.524
S 0.762 0.291 0.028

Results
Raw total energy = -6.299 eV/atom
Space group = R-3m
Fermi-level density of states = 17.8 states/eV per cell
Formation energy from raw total energies = -1.67 eV/atom

no.,mass density (g/cm3),total moment (μB/atom)
1,8.373,0.00
2,5.104,0.41